The following is a GGA-PBE calculation of PmTcRu after structural relaxation, from Alexandria.

For the formation energy, the calculation gives 0.075 eV/atom. Its volume is 19.58 Å³/atom. The density of states at the Fermi level is 2.9 states/eV/f.u. Its symmetry is No. 59.

```
PmTcRu
1.0
-2.9844 0.9830 0.8913
-1.7797 -3.0313 -2.6158
0.0749 -5.3880 6.1928
Pm Tc Ru
2 2 2
direct
0.5000 0.0000 0.6579 Pm
0.0000 0.5000 0.3421 Pm
0.5000 0.5000 0.0080 Tc
0.0000 0.0000 0.9920 Tc
0.0000 0.5000 0.7632 Ru
0.5000 0.0000 0.2368 Ru
```